(1)
The following is a GGA-PBE calculation of crystalline DyErPd at its relaxed geometry, from Alexandria via LeMat-Bulk.

Output
Raw total energy   -5.28 eV/atom
N(E_F)   3.39 states/eV/f.u.

```
data_DyErPd
_symmetry_space_group_name_H-M 'P 1'
_symmetry_Int_Tables_number 1
_symmetry_space_group_name_Hall 'P 1'
_cell_length_a 4.8644
_cell_length_b 4.8644
_cell_length_c 4.8644
_cell_angle_alpha 60.00
_cell_angle_beta 60.00
_cell_angle_gamma 60.00
loop_
_atom_site_label
_atom_site_type_symbol
_atom_site_fract_x
_atom_site_fract_y
_atom_site_fract_z
Dy1 Dy 0.0000 0.0000 0.0000
Er1 Er 0.5000 0.5000 0.5000
Pd1 Pd 0.7500 0.7500 0.7500
```

(2)
The following is a GGA-PBE calculation of crystalline DyErPd at its relaxed geometry, from Alexandria via LeMat-Bulk.

Output
Raw total energy   -5.36 eV/atom
N(E_F)   3.62 states/eV/f.u.

```
data_DyErPd
_symmetry_space_group_name_H-M 'P 1'
_symmetry_Int_Tables_number 1
_symmetry_space_group_name_Hall 'P 1'
_cell_length_a 7.3651
_cell_length_b 7.3651
_cell_length_c 4.8187
_cell_angle_alpha 90.00
_cell_angle_beta 90.00
_cell_angle_gamma 120.00
loop_
_atom_site_label
_atom_site_type_symbol
_atom_site_fract_x
_atom_site_fract_y
_atom_site_fract_z
Dy1 Dy 0.0000 0.2635 0.0000
Dy2 Dy 0.2635 0.0000 0.0000
Dy3 Dy 0.7365 0.7365 0.0000
Er1 Er 0.0000 0.5936 0.5000
Er2 Er 0.4064 0.4064 0.5000
Er3 Er 0.5936 0.0000 0.5000
Pd1 Pd 0.0000 0.0000 0.5000
Pd2 Pd 0.3333 0.6667 0.0000
Pd3 Pd 0.6667 0.3333 0.0000
```

(3)
The following is a GGA-PBE calculation of crystalline Dy5ErPd2 at its relaxed geometry, from Alexandria via LeMat-Bulk.

Output
Raw total energy   -5.11 eV/atom
N(E_F)   8.20 states/eV/f.u.

```
data_Dy5ErPd2
_symmetry_space_group_name_H-M 'P 1'
_symmetry_Int_Tables_number 1
_symmetry_space_group_name_Hall 'P 1'
_cell_length_a 6.6202
_cell_length_b 6.6202
_cell_length_c 18.0885
_cell_angle_alpha 90.00
_cell_angle_beta 90.00
_cell_angle_gamma 146.55
loop_
_atom_site_label
_atom_site_type_symbol
_atom_site_fract_x
_atom_site_fract_y
_atom_site_fract_z
Dy1 Dy 0.0530 0.9470 0.6050
Dy2 Dy 0.0530 0.9470 0.8950
Dy3 Dy 0.3465 0.6535 0.5429
Dy4 Dy 0.3465 0.6535 0.9571
Dy5 Dy 0.3832 0.6168 0.2500
Dy6 Dy 0.6168 0.3832 0.7500
Dy7 Dy 0.6535 0.3465 0.0429
Dy8 Dy 0.6535 0.3465 0.4571
Dy9 Dy 0.9470 0.0530 0.1050
Dy10 Dy 0.9470 0.0530 0.3950
Er1 Er 0.3513 0.6487 0.7500
Er2 Er 0.6487 0.3513 0.2500
Pd1 Pd 0.2484 0.7516 0.1317
Pd2 Pd 0.2484 0.7516 0.3683
Pd3 Pd 0.7516 0.2484 0.6317
Pd4 Pd 0.7516 0.2484 0.8683
```

> Which of these has the lowest N(E_F)?

number 1